Record 1
Here is a relaxed InAg6Sb crystal from Alexandria via LeMat-Bulk. Energies are from PBE-GGA.

**Space group**: No. 187
**Distance to the lowest polymorph of the same formula**: 0 meV/atom

Unit cell a=4.8691 b=6.0790 c=6.0790 alpha=120.00 beta=90.00 gamma=90.00
Last column: nearest neighbours and their distance in Å.
Atoms (fractional coordinates):
Ag1 0.5000 0.9155 0.0845  8 Ag 2.98-3.06, 2 In 3.01, 2 Sb 3.04
Ag2 0.5000 0.4190 0.0845  8 Ag 2.98-3.06, 2 In 3.01, 2 Sb 3.04
Ag3 0.0000 0.5879 0.9260  8 Ag 2.95-3.12, 2 Sb 3.03, 2 In 3.04
Ag4 0.5000 0.9155 0.5810  8 Ag 2.98-3.06, 2 In 3.01, 2 Sb 3.04
Ag5 0.0000 0.5879 0.4121  8 Ag 2.95-3.12, 2 Sb 3.03, 2 In 3.04
Ag6 0.0000 0.0740 0.4121  8 Ag 2.95-3.12, 2 Sb 3.03, 2 In 3.04
In1 0.0000 0.0833 0.9167  12 Ag 3.01-3.04
Sb1 0.5000 0.4166 0.5834  12 Ag 3.03-3.04

Record 2
Here is a relaxed InAgSb2 crystal from Alexandria via LeMat-Bulk. Energies are from PBE-GGA.

**Space group**: No. 160

Unit cell a=10.1883 b=10.1883 c=10.1883 alpha=19.23 beta=19.23 gamma=19.23
Last column: nearest neighbours and their distance in Å.
Atoms (fractional coordinates):
In1 0.7579 0.7579 0.7579  3 Ag 2.97, 3 Sb 3.29
Ag1 0.4986 0.4986 0.4986  3 In 2.97, 3 Sb 2.99
Sb1 0.0033 0.0033 0.0033  3 In 3.29, 9 Sb 3.40-3.49
Sb2 0.2402 0.2402 0.2402  3 Ag 2.99

Record 3
Here is a relaxed InAgSb2 crystal from Alexandria via LeMat-Bulk. Energies are from PBE-GGA.

**Space group**: No. 65

Unit cell a=5.5547 b=5.5547 c=3.2650 alpha=90.00 beta=90.00 gamma=89.91
Last column: nearest neighbours and their distance in Å.
Atoms (fractional coordinates):
Sb1 0.5000 0.5000 0.0000  4 In 3.22, 4 Ag 3.22, 2 Sb 3.27
Sb2 0.0000 0.0000 0.0000  4 Ag 3.22, 4 In 3.22, 2 Sb 3.27
In1 0.0000 0.5000 0.5000  8 Sb 3.22, 2 In 3.27
Ag1 0.5000 0.0000 0.5000  8 Sb 3.22, 2 Ag 3.27

Record 4
Here is a relaxed InAgSb2 crystal from Alexandria via LeMat-Bulk. Energies are from PBE-GGA.

**Space group**: No. 160

Unit cell a=4.4116 b=4.4116 c=6.9589 alpha=71.52 beta=71.52 gamma=60.00
Last column: nearest neighbours and their distance in Å.
Atoms (fractional coordinates):
In1 0.5003 0.5003 0.4991  6 Sb 3.15-3.16, 1 Ag 3.24
Ag1 0.6668 0.6668 0.9995  6 Sb 2.89-2.90, 1 In 3.24
Sb1 0.0705 0.0705 0.7886  3 Ag 2.89, 3 In 3.16
Sb2 0.2624 0.2624 0.2129  3 Ag 2.90, 3 In 3.15

Record 5
Here is a relaxed InAg2Sb crystal from Alexandria via LeMat-Bulk. Energies are from PBE-GGA.

**Space group**: No. 25

Unit cell a=3.7091 b=4.1660 c=5.8206 alpha=90.00 beta=90.00 gamma=90.00
Last column: nearest neighbours and their distance in Å.
Atoms (fractional coordinates):
Ag1 0.0000 0.0000 0.9973  2 In 2.83-2.99, 4 Sb 3.10, 4 Ag 3.16
Ag2 0.5000 0.5000 0.2524  2 Sb 2.83-2.99, 4 In 3.10, 4 Ag 3.16
In1 0.0000 0.0000 0.4840  6 Ag 2.83-3.10
Sb1 0.5000 0.5000 0.7663  6 Ag 2.83-3.10

Record 6
Here is a relaxed InAgSb2 crystal from Alexandria via LeMat-Bulk. Energies are from PBE-GGA.

**Space group**: No. 6

Unit cell a=3.9783 b=3.1162 c=8.6099 alpha=100.65 beta=90.00 gamma=90.00
Last column: nearest neighbours and their distance in Å.
Atoms (fractional coordinates):
Sb1 0.5000 0.2010 0.2688  2 Ag 2.92, 4 Sb 3.03-3.12
Sb2 0.0000 0.0626 0.9980  4 Sb 3.03-3.12, 2 In 3.14
Ag1 0.0000 0.3199 0.5220  2 Sb 2.92, 4 In 2.99, 2 Ag 3.12
In1 0.5000 0.9165 0.7111  4 Ag 2.99, 2 In 3.12, 2 Sb 3.14

Record 7
Here is a relaxed InAg2Sb crystal from Alexandria via LeMat-Bulk. Energies are from PBE-GGA.

**Space group**: No. 12

Unit cell a=4.9509 b=4.9509 c=5.8693 alpha=79.14 beta=79.14 gamma=39.17
Last column: nearest neighbours and their distance in Å.
Atoms (fractional coordinates):
Ag1 0.9980 0.9980 0.0216  3 In 2.93-2.94, 3 Sb 3.05-3.06, 2 Ag 3.16
Ag2 0.5020 0.5020 0.4784  3 In 2.93-2.94, 3 Sb 3.05-3.06, 2 Ag 3.16
In1 0.2500 0.2500 0.2500  6 Ag 2.93-2.94
Sb1 0.7500 0.7500 0.7500  6 Ag 3.05-3.06, 2 Sb 3.32, 4 In 3.37

Record 8
Here is a relaxed InAg2Sb crystal from Alexandria via LeMat-Bulk. Energies are from PBE-GGA.

**Space group**: No. 6

Unit cell a=4.6396 b=3.5827 c=5.7406 alpha=71.44 beta=90.00 gamma=90.00
Last column: nearest neighbours and their distance in Å.
Atoms (fractional coordinates):
In1 0.0000 0.4718 0.4222  7 Ag 2.91-3.10
Ag1 0.5000 0.0407 0.2908  3 Sb 2.93-3.09, 2 Ag 2.94, 4 In 3.01-3.02
Ag2 0.0000 0.2103 0.9575  3 In 2.91-3.10, 2 Ag 2.94, 4 Sb 3.01-3.02
Sb1 0.5000 0.7772 0.8295  7 Ag 2.93-3.09

Number 1: spin magnetization 0.00 μB/cell, raw formation energy 1.7 meV/atom. Number 2: spin magnetization 0.00 μB/cell, raw formation energy 161.4 meV/atom. Number 3: spin magnetization 0.00 μB/cell, raw formation energy 168.7 meV/atom. Number 4: spin magnetization 0.00 μB/cell, raw formation energy 119.6 meV/atom. Number 5: spin magnetization 0.00 μB/cell, raw formation energy 83.3 meV/atom. Number 6: spin magnetization 0.00 μB/cell, raw formation energy 84.1 meV/atom. Number 7: spin magnetization 0.00 μB/cell, raw formation energy 49.0 meV/atom. Number 8: spin magnetization 0.00 μB/cell, raw formation energy 47.3 meV/atom.